1.
Ca2LaZnN: optimized geometry, GGA-PBE.

Cell: 4.967 4.967 4.976 Å, 90.00 90.00 90.00°
Atoms (fractional coordinates):
Ca (0.000, 0.500, 0.000)
Ca (0.500, 0.000, 0.000)
La (0.000, 0.000, 0.500)
Zn (0.500, 0.500, 0.500)
N (0.000, 0.000, 0.000)

- volume (Å³ per atom) = 24.6
- electronic total energy (eV per cell) = -21.32
- E_form (uncorrected) (eV/atom) = -0.559
- magnetization (μB/cell) = 0.00
- DOS(E_F) (states/eV per cell) = 5.08

=====

2.
CaLaZnN2: optimized geometry, GGA-PBE.

Cell: 5.203 5.679 6.724 Å, 90.00 90.00 90.00°
Atoms (fractional coordinates):
Ca (0.000, 0.000, 0.250)
Ca (0.000, 0.000, 0.750)
La (0.500, 0.500, 0.250)
La (0.500, 0.500, 0.750)
Zn (0.500, 0.000, 0.000)
Zn (0.500, 0.000, 0.500)
N (0.264, 0.248, 0.000)
N (0.264, 0.752, 0.500)
N (0.736, 0.248, 0.500)
N (0.736, 0.752, 0.000)

- volume (Å³ per atom) = 19.9
- electronic total energy (eV per cell) = -55.22
- E_form (uncorrected) (eV/atom) = -0.551
- magnetization (μB/cell) = 0.00
- DOS(E_F) (states/eV per cell) = 5.59